Record 1
## Rb2Tl3InCl6 (GGA-PBE)

Data for a relaxed Rb2Tl3InCl6 crystal.

Cell: 4.642 9.271 10.370 Å, 102.82 102.93 90.00°
Fractional coordinates of all 12 atoms:
Rb1 0.834 0.670 0.668
Rb2 0.166 0.330 0.332
Tl1 0.500 0.500 0.000
Tl2 0.834 0.167 0.668
Tl3 0.166 0.833 0.332
In1 0.500 0.000 0.000
Cl1 0.335 0.923 0.671
Cl2 0.665 0.584 0.330
Cl3 0.665 0.077 0.329
Cl4 0.999 0.247 0.997
Cl5 0.001 0.753 0.003
Cl6 0.335 0.416 0.670

Summary:
Spin magnetization in Bohr magnetons per cell: 0.00
DOS(E_F) in states/eV/cell: 0.00
Formation energy from raw total energies in eV per formula unit: -15.469
Total energy in eV per atom: -3.193

Record 2
## Rb2TlInCl4 (GGA-PBE)

Data for a relaxed Rb2TlInCl4 crystal.

Cell: 4.673 8.054 8.079 Å, 70.39 90.00 90.00°
Fractional coordinates of all 8 atoms:
Rb1 0.000 0.000 0.000
Rb2 0.500 0.000 0.500
Tl1 0.000 0.500 0.500
In1 0.500 0.500 0.000
Cl1 0.000 0.744 0.753
Cl2 0.000 0.256 0.247
Cl3 0.500 0.745 0.251
Cl4 0.500 0.255 0.749

Summary:
Spin magnetization in Bohr magnetons per cell: 0.00
DOS(E_F) in states/eV/cell: 0.00
Formation energy from raw total energies in eV per formula unit: -11.382
Total energy in eV per atom: -3.226

Record 3
## RbTmIn2Cl6 (GGA-PBE)

Data for a relaxed RbTmIn2Cl6 crystal.

Cell: 7.849 7.848 8.050 Å, 60.77 60.77 59.92°
Fractional coordinates of all 10 atoms:
Rb1 0.812 0.813 0.562
Tm1 0.322 0.322 0.033
In1 0.526 0.526 0.422
In2 0.020 0.020 0.939
Cl1 0.555 0.208 0.239
Cl2 0.208 0.997 0.240
Cl3 0.997 0.556 0.239
Cl4 0.417 0.663 0.780
Cl5 0.663 0.140 0.781
Cl6 0.140 0.417 0.780

Summary:
Spin magnetization in Bohr magnetons per cell: 0.00
DOS(E_F) in states/eV/cell: 0.00
Formation energy from raw total energies in eV per formula unit: -16.562
Total energy in eV per atom: -3.856

Record 4
## Rb2UInCl6 (GGA-PBE)

Data for a relaxed Rb2UInCl6 crystal.

Cell: 7.865 8.785 11.530 Å, 90.00 90.00 90.00°
Site moments in Bohr magnetons follow the coordinates.
Fractional coordinates of all 20 atoms:
Rb1 0.500 0.823 0.199  0.00
Rb2 0.000 0.177 0.699  0.00
Rb3 0.500 0.823 0.801  0.00
Rb4 0.000 0.177 0.301  0.00
U1 0.500 0.203 0.500  2.90
U2 0.000 0.797 0.000  2.90
In1 0.000 0.701 0.500  0.00
In2 0.500 0.299 0.000  0.00
Cl1 0.500 0.194 0.262  -0.01
Cl2 0.500 0.194 0.738  -0.01
Cl3 0.000 0.806 0.238  -0.01
Cl4 0.000 0.806 0.762  -0.01
Cl5 0.257 0.974 0.500  -0.01
Cl6 0.743 0.974 0.500  -0.01
Cl7 0.232 0.401 0.500  -0.01
Cl8 0.768 0.401 0.500  -0.01
Cl9 0.732 0.599 0.000  -0.01
Cl10 0.268 0.599 0.000  -0.01
Cl11 0.243 0.026 0.000  -0.01
Cl12 0.757 0.026 0.000  -0.01

Summary:
Spin magnetization in Bohr magnetons per cell: 6.00
DOS(E_F) in states/eV/cell: 2.59
Formation energy from raw total energies in eV per formula unit: -16.121
Total energy in eV per atom: -4.316

> DOS(E_F) of number 2 (Rb2TlInCl4)?

0.00 states/eV/cell

> Which of these has the highest total energy?

Rb2Tl3InCl6

> What is the DOS(E_F) in the first record?

0.00 states/eV/cell